VASP calculation (PBE-GGA) on crystalline Er2MgZn2Rh5 at its relaxed geometry.

```
data_Er2MgZn2Rh5
_symmetry_space_group_name_H-M 'P 4/m b m'
_symmetry_Int_Tables_number 127
_symmetry_space_group_name_Hall '-P 4 2ab'
_cell_length_a 9.598
_cell_length_b 9.598
_cell_length_c 3.654
_cell_angle_alpha 90.00
_cell_angle_beta 90.00
_cell_angle_gamma 90.00
loop_
_atom_site_label
_atom_site_fract_x
_atom_site_fract_y
_atom_site_fract_z
Er1 0.173 0.327 0.000
Mg1 0.000 0.000 0.000
Zn1 0.125 0.625 0.000
Rh1 0.000 0.500 0.500
Rh2 0.071 0.798 0.500
```

The total magnetic moment comes out at 0.0 Bohr magnetons per cell. Its density of states at the Fermi level is 0.57 states/eV per atom. Its total DFT energy (no corrections) is -111.81 eV/cell.